Entry 1:
A relaxed Cs2BaScCl6 crystal. Source: the Alexandria database, functional PBE.

Results
Formation energy (no corrections), meV per atom: -2078
N(E_F), states/eV/cell: 6.6

```
Cs2BaScCl6
1.0
-6.557 -4.121 -1.720
3.816 -3.584 -5.961
0.269 -7.921 -0.344
Cl Cs Sc Ba
6 2 1 1
Cartesian
-0.738 -2.076 -2.069 Cl
1.022 -3.729 -4.818 Cl
-3.763 -3.977 -2.862 Cl
-1.858 -9.897 -5.797 Cl
-0.614 -5.729 -2.228 Cl
-2.003 -5.630 -5.612 Cl
1.357 -7.679 -5.073 Cs
-3.829 -7.948 -2.952 Cs
-1.371 -3.853 -3.840 Sc
0.000 0.000 0.000 Ba
```

***

Entry 2:
A relaxed CoNi3Rh4 crystal. Source: the Alexandria database, functional PBE.

Results
Energy relative to the lowest polymorph listed for this composition, meV per atom: 109.2
N(E_F), states/eV/cell: 15.3

```
CoNi3Rh4
1.0
-1.340 -0.844 -2.064
3.416 -1.764 -1.497
3.858 -11.152 3.697
Ni Rh Co
3 4 1
Cartesian
1.486 -7.221 0.349 Ni
4.448 -6.540 -0.213 Ni
1.708 -0.882 -0.748 Ni
3.637 -8.460 1.099 Rh
0.914 -3.234 -0.910 Rh
5.020 -10.527 1.046 Rh
2.297 -5.301 -0.963 Rh
-0.670 -0.422 -1.032 Co
```

***

Entry 3:
A relaxed Pm3Zn2Ni crystal. Source: the Alexandria database, functional PBE.

Results
Energy relative to the lowest polymorph listed for this composition, meV per atom: 2.9
N(E_F), states/eV/cell: 4.7

```
Pm3Zn2Ni
1.0
3.602 0.000 0.000
0.000 3.602 0.000
0.000 0.000 10.773
Ni Pm Zn
1 3 2
Cartesian
1.801 1.801 5.386 Ni
0.000 0.000 3.723 Pm
0.000 0.000 0.000 Pm
0.000 0.000 7.050 Pm
1.801 1.801 1.827 Zn
1.801 1.801 8.945 Zn
```

***

Entry 4:
A relaxed Y2Ge3Pd4Au crystal. Source: the Alexandria database, functional PBE.

Results
E, eV per cell: -58.03
N(E_F), states/eV/cell: 6.1

```
Y2Ge3Pd4Au
1.0
4.080 0.000 0.000
0.000 4.080 0.000
0.000 0.000 11.408
Ge Au Pd Y
3 1 4 2
Cartesian
0.000 2.040 1.484 Ge
2.040 0.000 9.924 Ge
0.000 0.000 5.704 Ge
2.040 2.040 5.704 Au
0.000 0.000 0.000 Pd
2.040 2.040 0.000 Pd
0.000 2.040 3.893 Pd
2.040 0.000 7.516 Pd
2.040 0.000 2.812 Y
0.000 2.040 8.596 Y
```

***

Entry 5:
A relaxed Pa3V crystal. Source: the Alexandria database, functional PBE.

Results
Energy relative to the lowest polymorph listed for this composition, meV per atom: 0.9
N(E_F), states/eV/cell: 7.6

```
Pa3V
1.0
-3.365 2.631 0.581
-2.120 -3.159 2.028
4.588 1.703 2.866
Pa V
3 1
Cartesian
-2.742 -0.264 1.304 Pa
-0.137 -0.860 3.099 Pa
-0.760 2.035 2.375 Pa
0.000 0.000 0.000 V
```

***

Entry 6:
A relaxed Li2FeAs crystal. Source: the Alexandria database, functional PBE.

Results
E, eV per cell: -17.58
N(E_F), states/eV/cell: 2.9

```
Li2FeAs
1.0
4.433 -0.050 0.013
3.219 3.048 0.013
1.402 0.549 4.064
Fe Li As
1 2 1
Cartesian
2.231 0.874 1.352 Fe
8.993 3.524 3.995 Li
6.877 2.695 3.162 Li
4.531 1.776 1.718 As
```

***

Entry 7:
A relaxed Sc3TlW crystal. Source: the Alexandria database, functional PBE.

Results
Energy relative to the lowest polymorph listed for this composition, meV per atom: 874.6
N(E_F), states/eV/cell: 4.5

```
Sc3TlW
1.0
-1.273 0.771 -5.043
-5.086 0.223 1.318
0.408 5.197 0.692
W Sc Tl
1 3 1
Cartesian
-2.976 3.096 -1.517 W
-0.637 0.386 -2.522 Sc
-2.543 0.112 0.659 Sc
0.204 2.598 0.346 Sc
0.000 0.000 0.000 Tl
```

***

Entry 8:
A relaxed Ac12CuSn6 crystal. Source: the Alexandria database, functional PBE.

Results
E, eV per cell: -83.86
N(E_F), states/eV/cell: 24.4

```
Ac12CuSn6
1.0
9.453 -0.067 -0.080
-1.499 9.334 -0.080
-1.499 -1.747 9.170
Ac Sn Cu
12 6 1
Cartesian
2.886 4.893 1.662 Ac
7.868 -1.084 6.163 Ac
1.463 -1.205 8.975 Ac
6.140 4.553 3.899 Ac
2.057 6.527 5.176 Ac
3.569 2.628 7.347 Ac
0.315 2.968 5.111 Ac
-2.264 4.703 8.591 Ac
4.992 8.725 0.035 Ac
-1.412 8.605 2.847 Ac
8.719 2.817 0.419 Ac
4.399 0.993 3.833 Ac
6.705 2.097 6.223 Sn
1.790 0.021 5.834 Sn
-0.250 5.423 2.786 Sn
4.665 7.499 3.176 Sn
1.057 4.882 7.946 Sn
5.399 2.639 1.064 Sn
0.000 0.000 0.000 Cu
```

***

Entry 9:
A relaxed MnBeHg2 crystal. Source: the Alexandria database, functional PBE.

Results
E, eV per cell: -11.56
N(E_F), states/eV/cell: 1.4

```
MnBeHg2
1.0
8.353 0.002 0.001
7.751 3.114 0.001
7.751 1.500 2.729
Mn Hg Be
1 2 1
Cartesian
17.890 3.462 2.049 Mn
23.678 4.582 2.711 Hg
12.103 2.342 1.386 Hg
5.963 1.154 0.683 Be
```

***

Entry 10:
A relaxed Li3AlPt crystal. Source: the Alexandria database, functional PBE.

Results
E, eV per cell: -12.53
N(E_F), states/eV/cell: 2.1

```
Li3AlPt
1.0
4.542 0.000 0.000
0.000 4.542 0.000
0.000 0.000 4.542
Li Al Pt
3 1 1
Cartesian
0.000 0.000 2.271 Li
2.271 0.000 0.000 Li
0.000 2.271 0.000 Li
0.000 0.000 0.000 Al
2.271 2.271 2.271 Pt
```

***

Entry 11:
A relaxed FeMo2Ir crystal. Source: the Alexandria database, functional PBE.

Results
Energy relative to the lowest polymorph listed for this composition, meV per atom: 79.7
N(E_F), states/eV/cell: 4.0

```
FeMo2Ir
1.0
4.690 0.006 -0.025
3.891 2.618 -0.025
0.766 0.234 4.726
Mo Fe Ir
2 1 1
Cartesian
8.547 2.614 0.041 Mo
7.047 2.155 3.387 Mo
4.713 1.441 2.384 Fe
2.295 0.702 1.154 Ir
```

***

Entry 12:
A relaxed SrMn crystal. Source: the Alexandria database, functional PBE.

Results
E, eV per cell: -56.64
N(E_F), states/eV/cell: 12.7

```
SrMn
1.0
20.139 0.000 0.000
0.000 4.666 0.000
0.000 0.000 4.337
Sr Mn
6 6
Cartesian
16.945 0.000 2.168 Sr
13.263 2.333 2.168 Sr
0.000 2.333 0.000 Sr
6.876 2.333 2.168 Sr
3.193 0.000 2.168 Sr
10.069 0.000 0.000 Sr
5.720 0.000 0.000 Mn
14.419 0.000 0.000 Mn
15.789 2.333 0.000 Mn
10.069 2.333 2.168 Mn
0.000 0.000 2.168 Mn
4.349 2.333 0.000 Mn
```